K2NaHg16, relaxed, DFT GGA-PBE; VASP energy = -0.578 eV/atom; space-group type = R3m (160); theoretical density = 9.9 g/cm³; ΔH_f (0 K) = -0.14 eV per atom; total moment = 0.00 Bohr magnetons per cell; density of states at the Fermi level = 6.733 states/eV per cell
1.0
5.180 2.991 5.998
-5.180 2.991 5.998
0.000 -5.982 5.998
K Na Hg
2 1 16
Direct
0.000 0.000 0.000
0.322 0.322 0.322
0.759 0.759 0.759
0.009 0.009 0.580
0.009 0.580 0.009
0.209 0.623 0.623
0.278 0.278 0.895
0.278 0.895 0.278
0.363 0.669 0.971
0.363 0.971 0.669
0.580 0.009 0.009
0.588 0.588 0.588
0.623 0.209 0.623
0.623 0.623 0.209
0.669 0.363 0.971
0.669 0.971 0.363
0.895 0.278 0.278
0.971 0.363 0.669
0.971 0.669 0.363



KNa3Hg4, relaxed, DFT GGA-PBE; VASP energy = -0.973 eV/atom; space-group type = C2/m (12); theoretical density = 6.2 g/cm³; ΔH_f (0 K) = -0.19 eV per atom; total moment = 0.00 Bohr magnetons per cell; density of states at the Fermi level = 5.677 states/eV per cell
1.0
19.619 0.000 0.000
0.000 3.413 0.000
-3.093 0.000 7.245
K Na Hg
2 6 8
Direct
0.000 0.000 0.000
0.500 0.500 0.000
0.000 0.500 0.500
0.208 0.500 0.208
0.292 0.000 0.792
0.500 0.000 0.500
0.708 0.000 0.208
0.792 0.500 0.792
0.135 0.000 0.444
0.135 0.000 0.827
0.365 0.500 0.173
0.365 0.500 0.556
0.635 0.500 0.444
0.635 0.500 0.827
0.865 0.000 0.173
0.865 0.000 0.556



K3Na20Hg6, relaxed, DFT GGA-PBE; VASP energy = -1.207 eV/atom; space-group type = Fm-3m (225); theoretical density = 2.9 g/cm³; ΔH_f (0 K) = -0.12 eV per atom; total moment = 0.00 Bohr magnetons per cell; density of states at the Fermi level = 9.314 states/eV per cell
1.0
0.000 8.019 8.019
8.019 0.000 8.019
8.019 8.019 0.000
K Na Hg
3 20 6
Direct
0.000 0.000 0.000
0.250 0.250 0.250
0.750 0.750 0.750
0.000 0.000 0.349
0.000 0.000 0.651
0.000 0.349 0.000
0.000 0.349 0.651
0.000 0.651 0.000
0.000 0.651 0.349
0.167 0.611 0.611
0.349 0.000 0.000
0.349 0.000 0.651
0.349 0.651 0.000
0.389 0.389 0.389
0.389 0.389 0.833
0.389 0.833 0.389
0.611 0.167 0.611
0.611 0.611 0.167
0.611 0.611 0.611
0.651 0.000 0.000
0.651 0.000 0.349
0.651 0.349 0.000
0.833 0.389 0.389
0.263 0.263 0.737
0.263 0.737 0.263
0.263 0.737 0.737
0.737 0.263 0.263
0.737 0.263 0.737
0.737 0.737 0.263



K2NaHg7, relaxed, DFT GGA-PBE; VASP energy = -0.771 eV/atom; space-group type = P-4m2 (115); theoretical density = 7.8 g/cm³; ΔH_f (0 K) = -0.21 eV per atom; total moment = 0.00 Bohr magnetons per cell; density of states at the Fermi level = 3.586 states/eV per cell
1.0
4.884 0.000 0.000
0.000 4.884 0.000
0.000 0.000 13.449
K Na Hg
2 1 7
Direct
0.000 0.500 0.232
0.500 0.000 0.768
0.000 0.000 0.500
0.000 0.000 0.000
0.000 0.500 0.643
0.000 0.500 0.863
0.500 0.000 0.137
0.500 0.000 0.357
0.500 0.500 0.000
0.500 0.500 0.500



KNa9Hg4, relaxed, DFT GGA-PBE; VASP energy = -1.151 eV/atom; space-group type = I4/mcm (140); theoretical density = 3.9 g/cm³; ΔH_f (0 K) = -0.14 eV per atom; total moment = 0.00 Bohr magnetons per cell; density of states at the Fermi level = 8.308 states/eV per cell
1.0
-5.386 5.386 7.784
5.386 -5.386 7.784
5.386 5.386 -7.784
K Na Hg
2 18 8
Direct
0.250 0.250 0.000
0.750 0.750 0.000
0.000 0.500 0.500
0.055 0.555 0.228
0.071 0.801 0.872
0.173 0.945 0.500
0.199 0.071 0.270
0.301 0.571 0.872
0.327 0.827 0.772
0.429 0.301 0.730
0.445 0.673 0.500
0.500 0.000 0.500
0.555 0.327 0.500
0.571 0.699 0.270
0.673 0.173 0.228
0.699 0.429 0.128
0.801 0.929 0.730
0.827 0.055 0.500
0.929 0.199 0.128
0.945 0.445 0.772
0.058 0.221 0.500
0.221 0.721 0.164
0.279 0.442 0.500
0.442 0.942 0.164
0.558 0.058 0.836
0.721 0.558 0.500
0.779 0.279 0.836
0.942 0.779 0.500



K17Na11Hg, relaxed, DFT GGA-PBE; VASP energy = -1.152 eV/atom; space-group type = Cm (8); theoretical density = 1.2 g/cm³; ΔH_f (0 K) = 0.00 eV per atom; total moment = 0.00 Bohr magnetons per cell; density of states at the Fermi level = 19.513 states/eV per cell
1.0
7.399 -10.002 0.000
7.399 10.002 0.000
-6.169 0.000 10.764
K Na Hg
17 11 1
Direct
0.000 0.000 0.000
0.002 0.649 0.004
0.008 0.008 0.641
0.014 0.430 0.666
0.018 0.671 0.427
0.301 0.301 0.695
0.307 0.701 0.300
0.309 0.309 0.303
0.376 0.622 0.628
0.430 0.014 0.666
0.440 0.670 0.003
0.622 0.376 0.628
0.622 0.622 0.346
0.649 0.002 0.004
0.670 0.440 0.003
0.671 0.018 0.427
0.701 0.307 0.300
0.174 0.988 0.356
0.175 0.360 0.982
0.213 0.829 0.824
0.360 0.175 0.982
0.360 0.987 0.169
0.685 0.861 0.688
0.827 0.827 0.188
0.829 0.213 0.824
0.861 0.685 0.688
0.987 0.360 0.169
0.988 0.174 0.356
0.695 0.695 0.868



KNaHg2, relaxed, DFT GGA-PBE; VASP energy = -1.000 eV/atom; space-group type = P4/mmm (123); theoretical density = 6.1 g/cm³; ΔH_f (0 K) = -0.24 eV per atom; total moment = 0.00 Bohr magnetons per cell; density of states at the Fermi level = 1.539 states/eV per cell
1.0
3.980 0.000 0.000
0.000 3.980 0.000
0.000 0.000 7.968
K Na Hg
1 1 2
Direct
0.000 0.000 0.000
0.000 0.000 0.500
0.500 0.500 0.299
0.500 0.500 0.701



K3NaHg8, relaxed, DFT GGA-PBE; VASP energy = -0.800 eV/atom; space-group type = R3m (160); theoretical density = 8.0 g/cm³; ΔH_f (0 K) = -0.21 eV per atom; total moment = 0.00 Bohr magnetons per cell; density of states at the Fermi level = 3.849 states/eV per cell
1.0
3.143 1.815 10.646
-3.143 1.815 10.646
0.000 -3.629 10.646
K Na Hg
3 1 8
Direct
0.000 0.000 0.000
0.126 0.126 0.126
0.504 0.504 0.504
0.627 0.627 0.627
0.060 0.564 0.564
0.065 0.065 0.566
0.065 0.566 0.065
0.314 0.314 0.314
0.564 0.060 0.564
0.564 0.564 0.060
0.566 0.065 0.065
0.814 0.814 0.814



K2Na6Hg, relaxed, DFT GGA-PBE; VASP energy = -1.179 eV/atom; space-group type = C2/m (12); theoretical density = 1.9 g/cm³; ΔH_f (0 K) = -0.02 eV per atom; total moment = 0.00 Bohr magnetons per cell; density of states at the Fermi level = 4.399 states/eV per cell
1.0
8.482 -5.701 0.000
8.482 5.701 0.000
-0.926 0.000 3.854
K Na Hg
2 6 1
Direct
0.129 0.129 0.129
0.871 0.871 0.871
0.171 0.480 0.824
0.276 0.724 0.500
0.480 0.171 0.824
0.520 0.829 0.176
0.724 0.276 0.500
0.829 0.520 0.176
0.500 0.500 0.000



KNaHg2, relaxed, DFT GGA-PBE; VASP energy = -0.874 eV/atom; space-group type = R-3m (166); theoretical density = 5.8 g/cm³; ΔH_f (0 K) = -0.12 eV per atom; total moment = 0.00 Bohr magnetons per cell; density of states at the Fermi level = 7.422 states/eV per cell
1.0
3.816 0.000 0.000
-1.908 3.305 0.000
0.000 0.000 31.390
K Na Hg
3 3 6
Direct
0.000 0.000 0.000
0.333 0.667 0.667
0.667 0.333 0.333
0.000 0.000 0.500
0.333 0.667 0.167
0.667 0.333 0.833
0.000 0.000 0.244
0.000 0.000 0.756
0.333 0.667 0.423
0.333 0.667 0.911
0.667 0.333 0.089
0.667 0.333 0.577



K2Na3Hg2, relaxed, DFT GGA-PBE; VASP energy = -1.130 eV/atom; space-group type = C2/m (12); theoretical density = 3.5 g/cm³; ΔH_f (0 K) = -0.17 eV per atom; total moment = 0.00 Bohr magnetons per cell; density of states at the Fermi level = 5.868 states/eV per cell
1.0
12.545 0.000 0.000
0.000 5.050 0.000
-3.614 0.000 8.302
K Na Hg
4 6 4
Direct
0.144 0.000 0.290
0.356 0.500 0.710
0.644 0.500 0.290
0.856 0.000 0.710
0.000 0.500 0.500
0.136 0.500 0.939
0.364 0.000 0.061
0.500 0.000 0.500
0.636 0.000 0.939
0.864 0.500 0.061
0.145 0.000 0.713
0.355 0.500 0.287
0.645 0.500 0.713
0.855 0.000 0.287



K3Na7Hg4, relaxed, DFT GGA-PBE; VASP energy = -1.141 eV/atom; space-group type = C2/m (12); theoretical density = 3.6 g/cm³; ΔH_f (0 K) = -0.16 eV per atom; total moment = 0.00 Bohr magnetons per cell; density of states at the Fermi level = 5.842 states/eV per cell
1.0
9.668 -2.561 0.000
9.668 2.561 0.000
-7.212 0.000 10.109
K Na Hg
3 7 4
Direct
0.000 0.000 0.000
0.308 0.308 0.293
0.692 0.692 0.707
0.000 0.000 0.500
0.167 0.167 0.427
0.317 0.317 0.983
0.487 0.487 0.709
0.513 0.513 0.291
0.683 0.683 0.017
0.833 0.833 0.573
0.109 0.109 0.820
0.336 0.336 0.741
0.664 0.664 0.259
0.891 0.891 0.180



K3Na6Hg, relaxed, DFT GGA-PBE; VASP energy = -1.149 eV/atom; space-group type = Cmc2_1 (36); theoretical density = 1.7 g/cm³; ΔH_f (0 K) = 0.00 eV per atom; total moment = 0.00 Bohr magnetons per cell; density of states at the Fermi level = 12.711 states/eV per cell
1.0
5.031 -13.889 0.000
5.031 13.889 0.000
0.000 0.000 6.506
K Na Hg
6 12 2
Direct
0.130 0.870 0.500
0.178 0.419 0.515
0.419 0.178 0.015
0.581 0.822 0.515
0.822 0.581 0.015
0.870 0.130 0.000
0.092 0.569 0.164
0.167 0.173 0.246
0.173 0.167 0.746
0.265 0.735 0.682
0.431 0.908 0.164
0.466 0.534 0.005
0.534 0.466 0.505
0.569 0.092 0.664
0.735 0.265 0.182
0.827 0.833 0.246
0.833 0.827 0.746
0.908 0.431 0.664
0.353 0.647 0.011
0.647 0.353 0.511



K12Na5Hg2, relaxed, DFT GGA-PBE; VASP energy = -1.082 eV/atom; space-group type = C2/m (12); theoretical density = 1.5 g/cm³; ΔH_f (0 K) = -0.01 eV per atom; total moment = 0.00 Bohr magnetons per cell; density of states at the Fermi level = 11.766 states/eV per cell
1.0
9.588 -5.410 0.000
9.588 5.410 0.000
-0.708 0.000 10.279
K Na Hg
12 5 2
Direct
0.032 0.032 0.227
0.072 0.639 0.087
0.148 0.526 0.644
0.361 0.928 0.913
0.444 0.444 0.338
0.474 0.852 0.356
0.526 0.148 0.644
0.556 0.556 0.662
0.639 0.072 0.087
0.852 0.474 0.356
0.928 0.361 0.913
0.968 0.968 0.773
0.132 0.132 0.566
0.242 0.242 0.239
0.500 0.500 0.000
0.758 0.758 0.761
0.868 0.868 0.434
0.208 0.792 0.500
0.792 0.208 0.500



K6Na3Hg, relaxed, DFT GGA-PBE; VASP energy = -1.113 eV/atom; space-group type = P2_1/m (11); theoretical density = 1.6 g/cm³; ΔH_f (0 K) = -0.03 eV per atom; total moment = 0.00 Bohr magnetons per cell; density of states at the Fermi level = 12.728 states/eV per cell
1.0
11.318 0.000 0.000
0.000 6.607 0.000
-5.438 0.000 14.149
K Na Hg
12 6 2
Direct
0.006 0.250 0.413
0.184 0.750 0.153
0.273 0.250 0.002
0.357 0.750 0.833
0.366 0.250 0.345
0.381 0.250 0.648
0.619 0.750 0.352
0.634 0.750 0.655
0.643 0.250 0.167
0.727 0.750 0.998
0.816 0.250 0.847
0.994 0.750 0.587
0.025 0.750 0.866
0.080 0.250 0.734
0.258 0.750 0.456
0.742 0.250 0.544
0.920 0.750 0.266
0.975 0.250 0.134
0.468 0.750 0.093
0.532 0.250 0.907



KNa6Hg12, relaxed, DFT GGA-PBE; VASP energy = -0.839 eV/atom; space-group type = R-3m (166); theoretical density = 7.7 g/cm³; ΔH_f (0 K) = -0.17 eV per atom; total moment = 0.00 Bohr magnetons per cell; density of states at the Fermi level = 7.457 states/eV per cell
1.0
6.822 3.939 3.479
-6.822 3.939 3.479
0.000 -7.877 3.479
K Na Hg
1 6 12
Direct
0.000 0.000 0.000
0.293 0.705 0.705
0.295 0.295 0.707
0.295 0.707 0.295
0.705 0.293 0.705
0.705 0.705 0.293
0.707 0.295 0.295
0.109 0.500 0.891
0.109 0.891 0.500
0.121 0.366 0.366
0.366 0.121 0.366
0.366 0.366 0.121
0.500 0.109 0.891
0.500 0.891 0.109
0.634 0.634 0.879
0.634 0.879 0.634
0.879 0.634 0.634
0.891 0.109 0.500
0.891 0.500 0.109



K5Na5Hg2, relaxed, DFT GGA-PBE; VASP energy = -1.130 eV/atom; space-group type = C2/m (12); theoretical density = 2.2 g/cm³; ΔH_f (0 K) = -0.07 eV per atom; total moment = 0.00 Bohr magnetons per cell; density of states at the Fermi level = 6.462 states/eV per cell
1.0
9.644 -2.863 0.000
9.644 2.863 0.000
-7.821 0.000 9.699
K Na Hg
5 5 2
Direct
0.000 0.000 0.000
0.137 0.137 0.843
0.170 0.170 0.515
0.830 0.830 0.485
0.863 0.863 0.157
0.247 0.247 0.235
0.450 0.450 0.770
0.500 0.500 0.500
0.550 0.550 0.230
0.753 0.753 0.765
0.350 0.350 0.919
0.650 0.650 0.081



K4NaHg2, relaxed, DFT GGA-PBE; VASP energy = -1.006 eV/atom; space-group type = Cmcm (63); theoretical density = 3.0 g/cm³; ΔH_f (0 K) = -0.10 eV per atom; total moment = 0.00 Bohr magnetons per cell; density of states at the Fermi level = 8.638 states/eV per cell
1.0
3.149 -5.453 0.000
3.149 5.453 0.000
0.000 0.000 18.848
K Na Hg
8 2 4
Direct
0.000 0.000 0.000
0.000 0.000 0.500
0.333 0.667 0.623
0.333 0.667 0.877
0.334 0.666 0.250
0.666 0.334 0.750
0.667 0.333 0.123
0.667 0.333 0.377
0.000 0.000 0.250
0.000 0.000 0.750
0.334 0.666 0.064
0.334 0.666 0.436
0.666 0.334 0.564
0.666 0.334 0.936